# NdDy2Ho2 | Alexandria via LeMat-Bulk | PBE | relaxed
data_NdDy2Ho2
_chemical_formula_sum 'Nd2 Dy4 Ho4'
_space_group_name_H-M_alt 'P 1'
_space_group_IT_number 1
_space_group_name_Hall 'P 1'
_cell_length_a 9.3778
_cell_length_b 9.3778
_cell_length_c 3.7128
_cell_angle_alpha 90.00
_cell_angle_beta 90.00
_cell_angle_gamma 90.00
loop_
_atom_site_label
_atom_site_fract_x
_atom_site_fract_y
_atom_site_fract_z
_atom_site_occupancy
Nd1 0.0000 0.0000 0.0000 1
Nd2 0.5000 0.5000 0.0000 1
Dy1 0.1252 0.3748 0.0000 1
Dy2 0.3748 0.8748 0.0000 1
Dy3 0.6252 0.1252 0.0000 1
Dy4 0.8748 0.6252 0.0000 1
Ho1 0.1716 0.6716 0.5000 1
Ho2 0.3284 0.1716 0.5000 1
Ho3 0.6716 0.8284 0.5000 1
Ho4 0.8284 0.3284 0.5000 1
# Formation enthalpy at 0 K, eV per atom: 0.0848
# Symmetry: P4/mbm (127)
# Offset from the most stable computed form, eV/atom: 0.000


# Nd8Dy2Ho3 | Alexandria via LeMat-Bulk | PBE | relaxed
data_Nd8Dy2Ho3
_chemical_formula_sum 'Nd8 Dy2 Ho3'
_space_group_name_H-M_alt 'P 1'
_space_group_IT_number 1
_space_group_name_Hall 'P 1'
_cell_length_a 10.9208
_cell_length_b 10.9208
_cell_length_c 5.7372
_cell_angle_alpha 90.02
_cell_angle_beta 90.02
_cell_angle_gamma 41.43
loop_
_atom_site_label
_atom_site_fract_x
_atom_site_fract_y
_atom_site_fract_z
_atom_site_occupancy
Nd1 0.0992 0.6895 0.9999 1
Nd2 0.1732 0.1732 0.5007 1
Nd3 0.3105 0.9008 0.0001 1
Nd4 0.3690 0.3690 0.5004 1
Nd5 0.6310 0.6310 0.4996 1
Nd6 0.6895 0.0992 0.9999 1
Nd7 0.8268 0.8268 0.4993 1
Nd8 0.9008 0.3105 0.0001 1
Dy1 0.2602 0.2602 0.0009 1
Dy2 0.7398 0.7398 0.9991 1
Ho1 0.2145 0.7855 0.5000 1
Ho2 0.5000 0.5000 0.0000 1
Ho3 0.7855 0.2145 0.5000 1
# Formation enthalpy at 0 K, eV per atom: 0.2023
# Symmetry: C2/m (12)


# Nd12Dy6Ho | Alexandria via LeMat-Bulk | PBE | relaxed
data_Nd12Dy6Ho
_chemical_formula_sum 'Nd12 Dy6 Ho1'
_space_group_name_H-M_alt 'P 1'
_space_group_IT_number 1
_space_group_name_Hall 'P 1'
_cell_length_a 8.6879
_cell_length_b 8.6879
_cell_length_c 8.6879
_cell_angle_alpha 88.98
_cell_angle_beta 88.98
_cell_angle_gamma 88.98
loop_
_atom_site_label
_atom_site_fract_x
_atom_site_fract_y
_atom_site_fract_z
_atom_site_occupancy
Nd1 0.0180 0.3625 0.1935 1
Nd2 0.1935 0.0180 0.3625 1
Nd3 0.2188 0.5665 0.4637 1
Nd4 0.3625 0.1935 0.0180 1
Nd5 0.4335 0.5363 0.7812 1
Nd6 0.4637 0.2188 0.5665 1
Nd7 0.5363 0.7812 0.4335 1
Nd8 0.5665 0.4637 0.2188 1
Nd9 0.6375 0.8065 0.9820 1
Nd10 0.7812 0.4335 0.5363 1
Nd11 0.8065 0.9820 0.6375 1
Nd12 0.9820 0.6375 0.8065 1
Dy1 0.0986 0.2595 0.7033 1
Dy2 0.2595 0.7033 0.0986 1
Dy3 0.2967 0.9014 0.7405 1
Dy4 0.7033 0.0986 0.2595 1
Dy5 0.7405 0.2967 0.9014 1
Dy6 0.9014 0.7405 0.2967 1
Ho1 0.0000 0.0000 0.0000 1
# Formation enthalpy at 0 K, eV per atom: 0.1325
# Symmetry: R-3 (148)
# Offset from the most stable computed form, eV/atom: 0.000


# Nd3Dy2Ho4 | Alexandria via LeMat-Bulk | PBE | relaxed
data_Nd3Dy2Ho4
_chemical_formula_sum 'Nd3 Dy2 Ho4'
_space_group_name_H-M_alt 'P 1'
_space_group_IT_number 1
_space_group_name_Hall 'P 1'
_cell_length_a 6.1965
_cell_length_b 6.1965
_cell_length_c 14.7477
_cell_angle_alpha 110.43
_cell_angle_beta 110.43
_cell_angle_gamma 33.58
loop_
_atom_site_label
_atom_site_fract_x
_atom_site_fract_y
_atom_site_fract_z
_atom_site_occupancy
Nd1 0.0000 0.0000 0.0000 1
Nd2 0.1093 0.1093 0.4431 1
Nd3 0.8907 0.8907 0.5569 1
Dy1 0.4466 0.4466 0.7793 1
Dy2 0.5534 0.5534 0.2207 1
Ho1 0.2224 0.2224 0.8891 1
Ho2 0.3300 0.3300 0.3300 1
Ho3 0.6700 0.6700 0.6700 1
Ho4 0.7776 0.7776 0.1109 1
# Formation enthalpy at 0 K, eV per atom: 0.0188
# Symmetry: C2/m (12)
# Offset from the most stable computed form, eV/atom: 0.000


# Nd12Dy3Ho | Alexandria via LeMat-Bulk | PBE | relaxed
data_Nd12Dy3Ho
_chemical_formula_sum 'Nd12 Dy3 Ho1'
_space_group_name_H-M_alt 'P 1'
_space_group_IT_number 1
_space_group_name_Hall 'P 1'
_cell_length_a 5.1562
_cell_length_b 5.1562
_cell_length_c 20.5724
_cell_angle_alpha 90.00
_cell_angle_beta 90.00
_cell_angle_gamma 90.00
loop_
_atom_site_label
_atom_site_fract_x
_atom_site_fract_y
_atom_site_fract_z
_atom_site_occupancy
Nd1 0.0000 0.0000 0.0000 1
Nd2 0.0000 0.0000 0.2503 1
Nd3 0.0000 0.0000 0.5000 1
Nd4 0.0000 0.0000 0.7497 1
Nd5 0.0000 0.5000 0.1252 1
Nd6 0.0000 0.5000 0.3753 1
Nd7 0.0000 0.5000 0.6247 1
Nd8 0.0000 0.5000 0.8748 1
Nd9 0.5000 0.0000 0.1252 1
Nd10 0.5000 0.0000 0.3753 1
Nd11 0.5000 0.0000 0.6247 1
Nd12 0.5000 0.0000 0.8748 1
Dy1 0.5000 0.5000 0.0000 1
Dy2 0.5000 0.5000 0.2504 1
Dy3 0.5000 0.5000 0.7496 1
Ho1 0.5000 0.5000 0.5000 1
# Formation enthalpy at 0 K, eV per atom: 0.0136
# Symmetry: P4/mmm (123)


# NdDy6Ho3 | Alexandria via LeMat-Bulk | PBE | relaxed
data_NdDy6Ho3
_chemical_formula_sum 'Nd1 Dy6 Ho3'
_space_group_name_H-M_alt 'P 1'
_space_group_IT_number 1
_space_group_name_Hall 'P 1'
_cell_length_a 6.8714
_cell_length_b 6.8714
_cell_length_c 6.8714
_cell_angle_alpha 90.91
_cell_angle_beta 90.91
_cell_angle_gamma 90.91
loop_
_atom_site_label
_atom_site_fract_x
_atom_site_fract_y
_atom_site_fract_z
_atom_site_occupancy
Nd1 0.0000 0.0000 0.0000 1
Dy1 0.0034 0.3335 0.6692 1
Dy2 0.1714 0.8316 0.5037 1
Dy3 0.3335 0.6692 0.0034 1
Dy4 0.5037 0.1714 0.8316 1
Dy5 0.6692 0.0034 0.3335 1
Dy6 0.8316 0.5037 0.1714 1
Ho1 0.2506 0.2506 0.2506 1
Ho2 0.4990 0.4990 0.4990 1
Ho3 0.7448 0.7448 0.7448 1
# Formation enthalpy at 0 K, eV per atom: 0.2746
# Symmetry: R3 (146)
# Offset from the most stable computed form, eV/atom: 0.125


# Nd4Dy5Ho | Alexandria via LeMat-Bulk | PBE | relaxed
data_Nd4Dy5Ho
_chemical_formula_sum 'Nd4 Dy5 Ho1'
_space_group_name_H-M_alt 'P 1'
_space_group_IT_number 1
_space_group_name_Hall 'P 1'
_cell_length_a 8.7917
_cell_length_b 8.7917
_cell_length_c 11.2512
_cell_angle_alpha 90.02
_cell_angle_beta 90.02
_cell_angle_gamma 23.24
loop_
_atom_site_label
_atom_site_fract_x
_atom_site_fract_y
_atom_site_fract_z
_atom_site_occupancy
Nd1 0.0312 0.0312 0.2498 1
Nd2 0.3433 0.3433 0.2500 1
Nd3 0.6567 0.6567 0.7500 1
Nd4 0.9688 0.9688 0.7502 1
Dy1 0.1732 0.1732 0.0504 1
Dy2 0.1734 0.1734 0.4490 1
Dy3 0.5000 0.5000 0.5000 1
Dy4 0.8266 0.8266 0.5510 1
Dy5 0.8268 0.8268 0.9496 1
Ho1 0.5000 0.5000 0.0000 1
# Formation enthalpy at 0 K, eV per atom: 0.1871
# Symmetry: C2/m (12)
# Offset from the most stable computed form, eV/atom: 0.000


# Nd3Dy2Ho3 | Alexandria via LeMat-Bulk | PBE | relaxed
data_Nd3Dy2Ho3
_chemical_formula_sum 'Nd3 Dy2 Ho3'
_space_group_name_H-M_alt 'P 1'
_space_group_IT_number 1
_space_group_name_Hall 'P 1'
_cell_length_a 8.5038
_cell_length_b 8.5038
_cell_length_c 8.5038
_cell_angle_alpha 138.99
_cell_angle_beta 138.93
_cell_angle_gamma 59.44
loop_
_atom_site_label
_atom_site_fract_x
_atom_site_fract_y
_atom_site_fract_z
_atom_site_occupancy
Nd1 0.0000 0.0000 0.0000 1
Nd2 0.3713 0.8713 0.5000 1
Nd3 0.6287 0.1287 0.5000 1
Dy1 0.2512 0.2512 0.0000 1
Dy2 0.7488 0.7488 0.0000 1
Ho1 0.1249 0.6249 0.5000 1
Ho2 0.5000 0.5000 0.0000 1
Ho3 0.8751 0.3751 0.5000 1
# Formation enthalpy at 0 K, eV per atom: 0.1250
# Symmetry: Immm (71)
# Offset from the most stable computed form, eV/atom: 0.104


Copy entry 6 word for word.
# NdDy6Ho3 | Alexandria via LeMat-Bulk | PBE | relaxed
data_NdDy6Ho3
_chemical_formula_sum 'Nd1 Dy6 Ho3'
_space_group_name_H-M_alt 'P 1'
_space_group_IT_number 1
_space_group_name_Hall 'P 1'
_cell_length_a 6.8714
_cell_length_b 6.8714
_cell_length_c 6.8714
_cell_angle_alpha 90.91
_cell_angle_beta 90.91
_cell_angle_gamma 90.91
loop_
_atom_site_label
_atom_site_fract_x
_atom_site_fract_y
_atom_site_fract_z
_atom_site_occupancy
Nd1 0.0000 0.0000 0.0000 1
Dy1 0.0034 0.3335 0.6692 1
Dy2 0.1714 0.8316 0.5037 1
Dy3 0.3335 0.6692 0.0034 1
Dy4 0.5037 0.1714 0.8316 1
Dy5 0.6692 0.0034 0.3335 1
Dy6 0.8316 0.5037 0.1714 1
Ho1 0.2506 0.2506 0.2506 1
Ho2 0.4990 0.4990 0.4990 1
Ho3 0.7448 0.7448 0.7448 1
# Formation enthalpy at 0 K, eV per atom: 0.2746
# Symmetry: R3 (146)
# Offset from the most stable computed form, eV/atom: 0.125